Compound: Ba6Au2O
Source: Alexandria
Functional: PBE
Structure: optimized geometry Values from VASP.

Formation energy from raw total energies ... -7.77 eV per formula unit
Calculated volume ... 719 Å³ per cell
DOS(E_F) ... 15.22 states/eV/cell
Uncorrected energy ... -3.424 eV per atom

Quantum ESPRESSO input file:
```
&SYSTEM
  ibrav = 0, nat = 18, ntyp = 3
/
ATOMIC_SPECIES
Ba 137.33 Ba.upf
Au 196.97 Au.upf
O 16.00 O.upf
ATOMIC_POSITIONS crystal
Ba 0.1056 0.0338 0.2334
Ba 0.1056 0.4662 0.7334
Ba 0.2201 0.6973 0.0620
Ba 0.2201 0.8027 0.5620
Ba 0.3672 0.1654 0.0617
Ba 0.3672 0.3346 0.5617
Ba 0.6328 0.6654 0.4383
Ba 0.6328 0.8346 0.9383
Ba 0.7799 0.1973 0.4380
Ba 0.7799 0.3027 0.9380
Ba 0.8944 0.5338 0.2666
Ba 0.8944 0.9662 0.7666
Au 0.2973 0.1086 0.7489
Au 0.2973 0.3914 0.2489
Au 0.7027 0.6086 0.7511
Au 0.7027 0.8914 0.2511
O 0.0000 0.0000 0.0000
O 0.0000 0.5000 0.5000
CELL_PARAMETERS angstrom
7.6107 0.0000 0.0000
0.0000 8.4934 0.0000
-7.4236 0.0000 11.1161
```


Compound: Pm2ErSc3Se6
Source: Alexandria
Functional: PBE
Structure: optimized geometry Values from VASP.

Formation energy from raw total energies ... -20.17 eV per formula unit
Calculated volume ... 274 Å³ per cell
DOS(E_F) ... 6.31 states/eV/cell
Uncorrected energy ... -6.178 eV per atom

Quantum ESPRESSO input file:
```
&SYSTEM
  ibrav = 0, nat = 12, ntyp = 4
/
ATOMIC_SPECIES
Pm 145.00 Pm.upf
Er 167.26 Er.upf
Sc 44.96 Sc.upf
Se 78.96 Se.upf
ATOMIC_POSITIONS crystal
Pm 0.1688 0.1688 0.3366
Pm 0.8312 0.8312 0.6634
Er 0.5000 0.5000 0.0000
Sc 0.1706 0.1706 0.8329
Sc 0.5000 0.5000 0.5000
Sc 0.8294 0.8294 0.1671
Se 0.0061 0.0061 0.7465
Se 0.3324 0.3324 0.9339
Se 0.3406 0.3406 0.4021
Se 0.6594 0.6594 0.5979
Se 0.6676 0.6676 0.0661
Se 0.9939 0.9939 0.2535
CELL_PARAMETERS angstrom
8.7610 -1.9913 0.0000
8.7610 1.9913 0.0000
-1.9383 0.0000 7.8511
```


Compound: Mg5Si6
Source: Alexandria
Functional: PBE
Structure: optimized geometry Values from VASP.

Formation energy from raw total energies ... 0.76 eV per formula unit
Calculated volume ... 424 Å³ per cell
DOS(E_F) ... 6.43 states/eV/cell
Uncorrected energy ... -3.614 eV per atom

Quantum ESPRESSO input file:
```
&SYSTEM
  ibrav = 0, nat = 22, ntyp = 2
/
ATOMIC_SPECIES
Mg 24.30 Mg.upf
Si 28.09 Si.upf
ATOMIC_POSITIONS crystal
Mg 0.0000 0.0000 0.0000
Mg 0.0053 0.3435 0.6946
Mg 0.0209 0.6053 0.5071
Mg 0.2377 0.3421 0.1751
Mg 0.2826 0.1671 0.5040
Mg 0.3807 0.9149 0.6864
Mg 0.5191 0.5717 0.3482
Mg 0.5970 0.9678 0.2301
Mg 0.6654 0.3894 0.9573
Mg 0.7326 0.6644 0.8056
Si 0.0111 0.7074 0.2662
Si 0.1944 0.1180 0.3240
Si 0.2641 0.6303 0.9179
Si 0.3898 0.7183 0.0668
Si 0.4000 0.9872 0.8473
Si 0.5531 0.5188 0.6350
Si 0.5997 0.8814 0.4724
Si 0.6228 0.1738 0.0914
Si 0.7778 0.2048 0.3919
Si 0.8501 0.9135 0.6087
Si 0.8808 0.6496 0.1185
Si 0.9984 0.1900 0.8479
CELL_PARAMETERS angstrom
4.5984 0.0000 0.0000
-2.0972 5.6784 0.0000
-2.0469 -1.9670 16.2480
```


Compound: LiLaCl2
Source: Alexandria
Functional: PBE
Structure: optimized geometry Values from VASP.

Formation energy from raw total energies ... -5.74 eV per formula unit
Calculated volume ... 92 Å³ per cell
DOS(E_F) ... 1.66 states/eV/cell
Uncorrected energy ... -4.068 eV per atom

Quantum ESPRESSO input file:
```
&SYSTEM
  ibrav = 0, nat = 4, ntyp = 3
/
ATOMIC_SPECIES
Li 6.94 Li.upf
La 138.91 La.upf
Cl 35.45 Cl.upf
ATOMIC_POSITIONS crystal
Li 0.0000 0.0000 0.0000
La 0.5000 0.7654 0.7654
Cl 0.0000 0.2092 0.2092
Cl 0.5000 0.4803 0.4803
CELL_PARAMETERS angstrom
3.8903 0.0000 0.0000
0.0000 2.1013 5.6342
0.0000 -2.1013 5.6342
```


Compound: ZnSbCl4
Source: Alexandria
Functional: PBE
Structure: optimized geometry Values from VASP.

Formation energy from raw total energies ... 3.20 eV per formula unit
Calculated volume ... 144 Å³ per cell
DOS(E_F) ... 4.96 states/eV/cell
Uncorrected energy ... -1.597 eV per atom

Quantum ESPRESSO input file:
```
&SYSTEM
  ibrav = 0, nat = 6, ntyp = 3
/
ATOMIC_SPECIES
Zn 65.41 Zn.upf
Sb 121.76 Sb.upf
Cl 35.45 Cl.upf
ATOMIC_POSITIONS crystal
Zn 0.0000 0.0000 0.0000
Sb 0.2500 0.2500 0.2500
Cl 0.1248 0.6251 0.6251
Cl 0.6251 0.1248 0.6251
Cl 0.6251 0.6251 0.1248
Cl 0.6251 0.6251 0.6251
CELL_PARAMETERS angstrom
0.0000 4.1589 4.1589
4.1589 0.0000 4.1589
4.1589 4.1589 0.0000
```


Compound: SnTe2F2
Source: Alexandria
Functional: PBE
Structure: optimized geometry Values from VASP.

Formation energy from raw total energies ... -2.82 eV per formula unit
Calculated volume ... 115 Å³ per cell
DOS(E_F) ... 1.66 states/eV/cell
Uncorrected energy ... -3.370 eV per atom

Quantum ESPRESSO input file:
```
&SYSTEM
  ibrav = 0, nat = 5, ntyp = 3
/
ATOMIC_SPECIES
Sn 118.71 Sn.upf
Te 127.60 Te.upf
F 19.00 F.upf
ATOMIC_POSITIONS crystal
Sn 0.0000 0.0000 0.0000
Te 0.2500 0.7500 0.5000
Te 0.7500 0.2500 0.5000
F 0.4139 0.4139 0.0000
F 0.5861 0.5861 0.0000
CELL_PARAMETERS angstrom
-2.0369 2.0369 6.9098
2.0369 -2.0369 6.9098
2.0369 2.0369 -6.9098
```


Compound: AgPb3
Source: Alexandria
Functional: PBE
Structure: optimized geometry Values from VASP.

Calculated volume ... 224 Å³ per cell
DOS(E_F) ... 3.77 states/eV/cell
Uncorrected energy ... -3.438 eV per atom
Formation energy from the elements ... 5 kJ per mole of atoms

Quantum ESPRESSO input file:
```
&SYSTEM
  ibrav = 0, nat = 8, ntyp = 2
/
ATOMIC_SPECIES
Ag 107.87 Ag.upf
Pb 207.20 Pb.upf
ATOMIC_POSITIONS crystal
Ag 0.2382 0.7618 0.7500
Ag 0.7618 0.2382 0.2500
Pb 0.1366 0.8634 0.0501
Pb 0.1366 0.8634 0.4499
Pb 0.4536 0.5464 0.2500
Pb 0.5464 0.4536 0.7500
Pb 0.8634 0.1366 0.5501
Pb 0.8634 0.1366 0.9499
CELL_PARAMETERS angstrom
1.7910 -6.6353 0.0000
1.7910 6.6353 0.0000
0.0000 0.0000 9.4417
```


Compound: GaAg2Ge
Source: Alexandria
Functional: PBE
Structure: optimized geometry Values from VASP.

Calculated volume ... 73 Å³ per cell
DOS(E_F) ... 0.56 states/eV/cell
Uncorrected energy ... -3.209 eV per atom
Formation energy from the elements ... 12 kJ per mole of atoms

Quantum ESPRESSO input file:
```
&SYSTEM
  ibrav = 0, nat = 4, ntyp = 3
/
ATOMIC_SPECIES
Ga 69.72 Ga.upf
Ag 107.87 Ag.upf
Ge 72.64 Ge.upf
ATOMIC_POSITIONS crystal
Ga 0.0000 0.0000 0.0000
Ag 0.5000 0.5000 0.2447
Ag 0.5000 0.5000 0.7553
Ge 0.0000 0.0000 0.5000
CELL_PARAMETERS angstrom
3.2907 0.0000 0.0000
0.0000 3.2907 0.0000
0.0000 0.0000 6.7842
```


Compound: Ac5ThBi6
Source: Alexandria
Functional: PBE
Structure: optimized geometry Values from VASP.

Calculated volume ... 477 Å³ per cell
DOS(E_F) ... 3.65 states/eV/cell
Uncorrected energy ... -5.207 eV per atom
Formation energy from the elements ... -90 kJ per mole of atoms

Quantum ESPRESSO input file:
```
&SYSTEM
  ibrav = 0, nat = 12, ntyp = 3
/
ATOMIC_SPECIES
Ac 227.00 Ac.upf
Th 232.04 Th.upf
Bi 208.98 Bi.upf
ATOMIC_POSITIONS crystal
Ac 0.0000 0.0000 0.0000
Ac 0.1652 0.8348 0.5000
Ac 0.3297 0.6703 0.0000
Ac 0.6703 0.3297 0.0000
Ac 0.8348 0.1652 0.5000
Th 0.5000 0.5000 0.5000
Bi 0.0972 0.4198 0.2578
Bi 0.2607 0.2607 0.7457
Bi 0.4198 0.0972 0.2578
Bi 0.5802 0.9028 0.7422
Bi 0.7393 0.7393 0.2543
Bi 0.9028 0.5802 0.7422
CELL_PARAMETERS angstrom
4.1796 -7.2372 0.0000
4.1796 7.2372 0.0000
-2.7908 0.0000 7.8796
```


Compound: BaNaPr2Se4
Source: Alexandria
Functional: PBE
Structure: optimized geometry Values from VASP.

Formation energy from raw total energies ... -14.34 eV per formula unit
Calculated volume ... 484 Å³ per cell
DOS(E_F) ... 5.87 states/eV/cell
Uncorrected energy ... -5.135 eV per atom

Quantum ESPRESSO input file:
```
&SYSTEM
  ibrav = 0, nat = 16, ntyp = 4
/
ATOMIC_SPECIES
Ba 137.33 Ba.upf
Na 22.99 Na.upf
Pr 140.91 Pr.upf
Se 78.96 Se.upf
ATOMIC_POSITIONS crystal
Ba 0.5000 0.0000 0.0000
Ba 0.5000 0.5000 0.5000
Na 0.0000 0.0000 0.0000
Na 0.5000 0.0000 0.5000
Pr 0.0000 0.0000 0.5000
Pr 0.0000 0.5000 0.0000
Pr 0.0000 0.5000 0.5000
Pr 0.5000 0.5000 0.0000
Se 0.2287 0.7459 0.4829
Se 0.2370 0.2541 0.9829
Se 0.2410 0.2508 0.5098
Se 0.2410 0.7313 0.9902
Se 0.7590 0.2687 0.0098
Se 0.7590 0.7492 0.4902
Se 0.7630 0.7459 0.0171
Se 0.7713 0.2541 0.5171
CELL_PARAMETERS angstrom
-4.4040 4.4103 6.2278
4.4040 -4.4103 6.2278
4.4040 4.4103 -6.2278
```


Compound: ZnAsSe2Cl
Source: Alexandria
Functional: PBE
Structure: optimized geometry Values from VASP.

Formation energy from raw total energies ... 2.73 eV per formula unit
Calculated volume ... 120 Å³ per cell
DOS(E_F) ... 4.42 states/eV/cell
Uncorrected energy ... -2.403 eV per atom

Quantum ESPRESSO input file:
```
&SYSTEM
  ibrav = 0, nat = 5, ntyp = 4
/
ATOMIC_SPECIES
Zn 65.41 Zn.upf
As 74.92 As.upf
Se 78.96 Se.upf
Cl 35.45 Cl.upf
ATOMIC_POSITIONS crystal
Zn 0.0000 0.0000 0.0000
As 0.0000 0.0000 0.5000
Se 0.0000 0.5000 0.0000
Se 0.5000 0.0000 0.0000
Cl 0.5000 0.5000 0.5000
CELL_PARAMETERS angstrom
4.8320 0.0000 0.0000
0.0000 4.8320 0.0000
0.0000 0.0000 5.1456
```


Compound: TaNi2Ru
Source: Alexandria
Functional: PBE
Structure: optimized geometry Values from VASP.

Calculated volume ... 55 Å³ per cell
DOS(E_F) ... 4.65 states/eV/cell
Uncorrected energy ... -8.029 eV per atom
Formation energy from the elements ... 14 kJ per mole of atoms

Quantum ESPRESSO input file:
```
&SYSTEM
  ibrav = 0, nat = 4, ntyp = 3
/
ATOMIC_SPECIES
Ta 180.95 Ta.upf
Ni 58.69 Ni.upf
Ru 101.07 Ru.upf
ATOMIC_POSITIONS crystal
Ta 0.0000 0.0000 0.0000
Ni 0.2486 0.2486 0.2486
Ni 0.5052 0.5052 0.5052
Ru 0.7586 0.7586 0.7586
CELL_PARAMETERS angstrom
1.3627 0.7868 8.5859
-1.3627 0.7868 8.5859
0.0000 -1.5736 8.5859
```


Compound: HPtW2
Source: Alexandria
Functional: PBE
Structure: optimized geometry Values from VASP.

Calculated volume ... 56 Å³ per cell
DOS(E_F) ... 2.51 states/eV/cell
Uncorrected energy ... -8.078 eV per atom

Quantum ESPRESSO input file:
```
&SYSTEM
  ibrav = 0, nat = 4, ntyp = 3
/
ATOMIC_SPECIES
H 1.01 H.upf
Pt 195.08 Pt.upf
W 183.84 W.upf
ATOMIC_POSITIONS crystal
H 0.0000 0.0000 0.0000
Pt 0.5000 0.5000 0.5000
W 0.2500 0.2500 0.2500
W 0.7500 0.7500 0.7500
CELL_PARAMETERS angstrom
0.0000 3.0395 3.0395
3.0395 0.0000 3.0395
3.0395 3.0395 0.0000
```


Compound: LiGdMgSc
Source: Alexandria
Functional: PBE
Structure: optimized geometry Values from VASP.

Calculated volume ... 99 Å³ per cell
DOS(E_F) ... 4.67 states/eV/cell
Uncorrected energy ... -5.915 eV per atom
Formation energy from the elements ... 6 kJ per mole of atoms

Quantum ESPRESSO input file:
```
&SYSTEM
  ibrav = 0, nat = 4, ntyp = 4
/
ATOMIC_SPECIES
Li 6.94 Li.upf
Gd 157.25 Gd.upf
Mg 24.30 Mg.upf
Sc 44.96 Sc.upf
ATOMIC_POSITIONS crystal
Li 0.0000 0.0000 0.0000
Gd 0.2500 0.2500 0.2500
Mg 0.5000 0.5000 0.5000
Sc 0.7500 0.7500 0.7500
CELL_PARAMETERS angstrom
0.0000 3.6764 3.6764
3.6764 0.0000 3.6764
3.6764 3.6764 0.0000
```


Compound: BeC2
Source: Alexandria
Functional: PBE
Structure: optimized geometry Values from VASP.

Calculated volume ... 20 Å³ per cell
DOS(E_F) ... 0.34 states/eV/cell
Uncorrected energy ... -6.705 eV per atom
Formation energy from the elements ... 66 kJ per mole of atoms

Quantum ESPRESSO input file:
```
&SYSTEM
  ibrav = 0, nat = 3, ntyp = 2
/
ATOMIC_SPECIES
Be 9.01 Be.upf
C 12.01 C.upf
ATOMIC_POSITIONS crystal
Be 0.0000 0.0000 0.0000
C 0.3333 0.6667 0.4269
C 0.6667 0.3333 0.5731
CELL_PARAMETERS angstrom
2.4713 0.0000 0.0000
-1.2356 2.1402 0.0000
0.0000 0.0000 3.7051
```


Compound: Y5Cu4Os
Source: Alexandria
Functional: PBE
Structure: optimized geometry Values from VASP.

Calculated volume ... 209 Å³ per cell
DOS(E_F) ... 4.96 states/eV/cell
Uncorrected energy ... -6.226 eV per atom
Formation energy from the elements ... -22 kJ per mole of atoms

Quantum ESPRESSO input file:
```
&SYSTEM
  ibrav = 0, nat = 10, ntyp = 3
/
ATOMIC_SPECIES
Y 88.91 Y.upf
Cu 63.55 Cu.upf
Os 190.23 Os.upf
ATOMIC_POSITIONS crystal
Y 0.0000 0.0000 0.0000
Y 0.0000 0.0000 0.2013
Y 0.0000 0.0000 0.4048
Y 0.0000 0.0000 0.5952
Y 0.0000 0.0000 0.7987
Cu 0.5000 0.5000 0.0998
Cu 0.5000 0.5000 0.2992
Cu 0.5000 0.5000 0.7008
Cu 0.5000 0.5000 0.9002
Os 0.5000 0.5000 0.5000
CELL_PARAMETERS angstrom
3.4499 0.0000 0.0000
0.0000 3.4499 0.0000
0.0000 0.0000 17.5721
```


Compound: CsTbSnSe4
Source: Alexandria
Functional: PBE
Structure: optimized geometry Values from VASP.

Formation energy from raw total energies ... -7.98 eV per formula unit
Calculated volume ... 485 Å³ per cell
Uncorrected energy ... -4.486 eV per atom

Quantum ESPRESSO input file:
```
&SYSTEM
  ibrav = 0, nat = 14, ntyp = 4
/
ATOMIC_SPECIES
Cs 132.91 Cs.upf
Tb 158.93 Tb.upf
Sn 118.71 Sn.upf
Se 78.96 Se.upf
ATOMIC_POSITIONS crystal
Cs 0.2483 0.2500 0.0547
Cs 0.7517 0.7500 0.9453
Tb 0.2156 0.2500 0.5481
Tb 0.7844 0.7500 0.4519
Sn 0.2341 0.7500 0.3423
Sn 0.7659 0.2500 0.6577
Se 0.0215 0.5127 0.6924
Se 0.0215 0.9873 0.6924
Se 0.4460 0.7500 0.1808
Se 0.4784 0.7500 0.5890
Se 0.5216 0.2500 0.4110
Se 0.5540 0.2500 0.8192
Se 0.9785 0.0127 0.3076
Se 0.9785 0.4873 0.3076
CELL_PARAMETERS angstrom
7.0081 0.0000 0.0000
0.0000 7.3163 0.0000
-3.1784 0.0000 9.4684
```


Compound: SrZrTaN2
Source: Alexandria
Functional: PBE
Structure: optimized geometry Values from VASP.

Formation energy from raw total energies ... 5.79 eV per formula unit
Calculated volume ... 102 Å³ per cell
DOS(E_F) ... 4.83 states/eV/cell
Uncorrected energy ... -6.589 eV per atom

Quantum ESPRESSO input file:
```
&SYSTEM
  ibrav = 0, nat = 5, ntyp = 4
/
ATOMIC_SPECIES
Sr 87.62 Sr.upf
Zr 91.22 Zr.upf
Ta 180.95 Ta.upf
N 14.01 N.upf
ATOMIC_POSITIONS crystal
Sr 0.0000 0.0000 0.0000
Zr 0.5000 0.5000 0.0000
Ta 0.0000 0.0000 0.5000
N 0.0000 0.5000 0.5000
N 0.5000 0.0000 0.5000
CELL_PARAMETERS angstrom
4.1588 0.0000 0.0000
0.0000 4.1588 0.0000
0.0000 0.0000 5.9195
```